(1)
Re2AgTeN | PBE-GGA | relaxed

Computed properties:
volume: 18.95 Å³/atom
energy: -5.2869 eV/atom
uncorrected formation energy: 2.556 eV/atom
symmetry: P4/mmm
DOS at the Fermi energy: 0.89 states/eV/atom

Structure (POSCAR):
```
Re2AgTeN
1.0
-0.8078 -2.1134 4.5280
-0.1064 -3.3422 -1.5790
4.9948 -0.4753 0.6693
Re Te Ag N
2 1 1 1
Direct
0.0000 0.0000 0.5000 Re
0.5000 0.0000 0.0000 Re
0.5000 0.5000 0.5000 Te
0.0000 0.0000 0.0000 Ag
0.0000 0.5000 0.0000 N
```


(2)
CsSrMg2In | PBE-GGA | relaxed

Computed properties:
volume: 56.27 Å³/atom
energy: -1.2120 eV/atom
symmetry: P4/mmm
DOS at the Fermi energy: 1.53 states/eV/atom
calculated formation energy: 0.481 eV/atom

Structure (POSCAR):
```
CsSrMg2In
1.0
-1.0132 -5.9009 -2.8611
5.4206 0.6766 -3.3151
3.3643 -2.9527 4.8985
Cs Sr Mg In
1 1 2 1
Direct
0.5000 0.5000 0.5000 Cs
0.0000 0.0000 0.0000 Sr
0.0000 0.0000 0.5000 Mg
0.5000 0.0000 0.0000 Mg
0.0000 0.5000 0.0000 In
```


(3)
Pm4PN7 | PBE-GGA | relaxed

Computed properties:
volume: 16.59 Å³/atom
energy: -7.8186 eV/atom
uncorrected formation energy: -0.928 eV/atom
symmetry: P1
DOS at the Fermi energy: 0.06 states/eV/atom

Structure (POSCAR):
```
Pm4PN7
1.0
5.8640 -0.0542 1.3034
2.1895 5.2179 2.6482
0.6840 0.4064 6.8036
Pm P N
4 1 7
Direct
0.6333 0.6978 0.2009 Pm
0.4615 0.3895 0.7776 Pm
0.7943 0.8814 0.5668 Pm
0.2071 0.2279 0.4797 Pm
0.0812 0.9392 0.0058 P
0.9886 0.5223 0.9104 N
0.0699 0.4021 0.0952 N
0.8825 0.0806 0.8306 N
0.0112 0.7501 0.2617 N
0.4778 0.8115 0.5095 N
0.3426 0.9811 0.9071 N
0.5501 0.3166 0.4547 N
```


(4)
Sr2CdRh | PBE-GGA | relaxed

Computed properties:
volume: 25.97 Å³/atom
energy: -2.8971 eV/atom
symmetry: F-43m
DOS at the Fermi energy: 1.16 states/eV/atom
calculated formation energy: 0.010 eV/atom

Structure (POSCAR):
```
Sr2CdRh
1.0
-0.7354 4.8265 -2.0010
-4.2461 1.0076 -2.9657
-3.8579 3.0732 1.8740
Cd Rh Sr
1 1 2
Direct
0.5000 0.5000 0.5000 Cd
0.7500 0.7500 0.7500 Rh
0.0000 0.0000 0.0000 Sr
0.2500 0.2500 0.2500 Sr
```


(5)
TlOs2 | PBE-GGA | relaxed

Computed properties:
volume: 20.98 Å³/atom
energy: -7.2375 eV/atom
symmetry: P-3m1
DOS at the Fermi energy: 0.70 states/eV/atom
calculated formation energy: 1.038 eV/atom

Structure (POSCAR):
```
TlOs2
1.0
4.0000 0.0000 0.0000
-2.0000 3.4641 0.0000
0.0000 0.0000 4.5418
Os Tl
2 1
Direct
0.6667 0.3333 0.5708 Os
0.3333 0.6667 0.4292 Os
0.0000 0.0000 0.0000 Tl
```


(6)
TlBH2Rh | PBE-GGA | relaxed

Computed properties:
volume: 14.14 Å³/atom
energy: -3.3674 eV/atom
symmetry: P4/mmm
DOS at the Fermi energy: 0.38 states/eV/atom

Structure (POSCAR):
```
TlBH2Rh
1.0
-0.7330 0.1229 -3.5221
-3.6255 -4.0334 0.6138
-2.5889 2.4220 0.6233
H Tl B Rh
2 1 1 1
Direct
0.0000 0.0000 0.5000 H
0.5000 0.0000 0.0000 H
0.0000 0.5000 0.0000 Tl
0.0000 0.0000 0.0000 B
0.5000 0.5000 0.5000 Rh
```